DFT (GGA-PBE) results for a relaxed structure of TaCrSb2Te.

The symmetry is P4/mmm (123). The formation energy from raw total energies is 1.0453 eV/atom. For the density of states at the Fermi level, the calculation gives 4.93 states/eV/f.u.

a = 5.0204 Å, b = 5.0204 Å, c = 5.1180 Å
α = 90.00°, β = 90.00°, γ = 90.00°
Sites, in units of the cell vectors:
1 Ta 0.0000 0.0000 0.0000
2 Cr 0.5000 0.5000 0.5000
3 Sb 0.0000 0.5000 0.5000
4 Sb 0.5000 0.0000 0.5000
5 Te 0.5000 0.5000 0.0000

DFT (GGA-PBE) results for a relaxed structure of LiMn5S8.

The symmetry is F-43m (216). The formation energy from raw total energies is -0.5619 eV/atom. For the density of states at the Fermi level, the calculation gives 6.43 states/eV/f.u.

a = 6.8187 Å, b = 6.8187 Å, c = 6.8187 Å
α = 60.00°, β = 60.00°, γ = 60.00°
Sites, in units of the cell vectors:
1 Li 0.0000 0.0000 0.0000
2 Mn 0.3596 0.3596 0.3596
3 Mn 0.3596 0.3596 0.9211
4 Mn 0.3596 0.9211 0.3596
5 Mn 0.7500 0.7500 0.7500
6 Mn 0.9211 0.3596 0.3596
7 S 0.1312 0.1312 0.1312
8 S 0.1312 0.1312 0.6065
9 S 0.1312 0.6065 0.1312
10 S 0.1644 0.6119 0.6119
11 S 0.6065 0.1312 0.1312
12 S 0.6119 0.1644 0.6119
13 S 0.6119 0.6119 0.1644
14 S 0.6119 0.6119 0.6119

Number 1: V 25.80 Å³/atom. Number 2: V 16.01 Å³/atom.